Computed, not measured: Sr4Mg2Pd after structural relaxation at the PBE level of DFT.

**E_tot**: -2.2506 eV/atom

extended XYZ file:
```
7
Lattice="-1.7884 -5.3127 1.4999 1.2290 -1.9203 -5.3362 8.5902 1.5675 4.5695" Properties=species:S:1:pos:R:3 pbc="T T T"
Pd 0.0000 0.0000 0.0000
Mg 1.8221 -4.1347 -1.2476
Mg 6.2087 -1.5308 1.9809
Sr -0.8942 -2.6563 0.7500
Sr 5.1472 -4.9545 -0.1867
Sr 0.6145 -0.9601 -2.6681
Sr 2.8836 -0.7109 0.9200
```